1.
This record from Alexandria via LeMat-Bulk describes a geometry-optimized Pm2PrScSb4 structure. The functional is PBE.

## Properties
formation energy from raw total energies	-1094	meV/atom
space group	P2/m, No. 10

abc: 4.4413 7.6759 7.6832
angles: 109.51 90.00 90.00
Fractional positions:
Pr 0.5000 0.5000 0.0000
Pm 0.0000 0.5000 0.5000
Sb 0.0000 0.2402 0.7544
Sb 0.5000 0.7656 0.7629
Pm 0.5000 0.0000 0.5000
Sb 0.0000 0.7598 0.2456
Sb 0.5000 0.2344 0.2371
Sc 0.0000 0.0000 0.0000



2.
This record from Alexandria via LeMat-Bulk describes a geometry-optimized Tb10DySc4 structure. The functional is PBE.

## Properties
space group	I4/m, No. 87
energy of formation	569	meV per atom

abc: 8.9966 8.7113 8.7113
angles: 74.54 58.91 58.91
Fractional positions:
Tb 0.9704 0.0917 0.3342
Sc 0.4590 0.8091 0.2728
Tb 0.0296 0.9083 0.6658
Tb 0.6955 0.3342 0.9083
Tb 0.3963 0.9083 0.6658
Tb 0.9379 0.6658 0.0917
Tb 0.6037 0.0917 0.3342
Tb 0.0621 0.3342 0.9083
Tb 0.7500 0.5000 0.5000
Tb 0.2500 0.5000 0.5000
Sc 0.7318 0.7272 0.8091
Dy 0.0000 0.0000 0.0000
Tb 0.3045 0.6658 0.0917
Sc 0.2682 0.2728 0.1909
Sc 0.5410 0.1909 0.7272



3.
This record from Alexandria via LeMat-Bulk describes a geometry-optimized CuTeMo2 structure. The functional is PBE.

## Properties
formation energy from raw total energies	492	meV/atom
space group	Pm, No. 6

abc: 4.5033 3.2000 4.6438
angles: 90.01 90.00 90.00
Fractional positions:
Te 0.0000 0.3758 0.5609
Cu 0.5000 0.8739 0.7068
Mo 0.5000 0.3737 0.1802
Mo 0.0000 0.8765 0.0522



4.
This record from Alexandria via LeMat-Bulk describes a geometry-optimized LaAgO2F structure. The functional is PBE.

## Properties
formation energy from raw total energies	-1743	meV/atom
space group	P4/mmm, No. 123

abc: 4.5454 4.5454 4.6995
angles: 90.00 90.00 90.00
Each line ends with the local moment (μB).
Fractional positions:
F 0.0000 0.0000 0.5000  0.00
O 0.0000 0.5000 0.0000  0.40
O 0.5000 0.0000 0.0000  0.40
La 0.0000 0.0000 0.0000  0.13
Ag 0.5000 0.5000 0.5000  0.00



5.
This record from Alexandria via LeMat-Bulk describes a geometry-optimized BaSiHg structure. The functional is PBE.

## Properties
formation energy from raw total energies	-21	meV/atom
space group	I4mm, No. 107

abc: 6.4984 6.4984 6.4984
angles: 145.83 145.78 49.13
Fractional positions:
Hg 0.3039 0.3039 0.0000
Ba 0.0009 0.0009 0.0000
Si 0.6951 0.6951 0.0000



6.
This record from Alexandria via LeMat-Bulk describes a geometry-optimized Re2SbTe structure. The functional is PBE.

## Properties
formation energy from raw total energies	738	meV/atom
space group	C2/m, No. 12
offset from the most stable computed form	429.3	meV/atom

abc: 4.5681 4.5681 5.5860
angles: 77.60 77.60 40.67
Fractional positions:
Te 0.2500 0.2500 0.2500
Sb 0.7500 0.7500 0.7500
Re 0.4942 0.4942 0.4793
Re 0.0058 0.0058 0.0207



7.
This record from Alexandria via LeMat-Bulk describes a geometry-optimized PmGa2BRu2 structure. The functional is PBE.

## Properties
space group	P4/mmm, No. 123
energy of formation	-610	meV per atom

abc: 4.1982 4.1982 5.5454
angles: 90.00 90.00 90.00
Fractional positions:
Ga 0.5000 0.5000 0.2694
Ru 0.0000 0.5000 0.0000
Ga 0.5000 0.5000 0.7306
B 0.0000 0.0000 0.0000
Ru 0.5000 0.0000 0.0000
Pm 0.0000 0.0000 0.5000



8.
This record from Alexandria via LeMat-Bulk describes a geometry-optimized Ag2Pt2Pb structure. The functional is PBE.

## Properties
space group	P4/mbm, No. 127
energy of formation	132	meV per atom
offset from the most stable computed form	82.8	meV/atom

abc: 8.0617 8.0617 2.9693
angles: 90.00 90.00 90.00
Fractional positions:
Ag 0.8767 0.6233 0.0000
Pt 0.6731 0.8269 0.5000
Pt 0.1731 0.6731 0.5000
Ag 0.1233 0.3767 0.0000
Ag 0.3767 0.8767 0.0000
Pb 0.0000 0.0000 0.0000
Pt 0.3269 0.1731 0.5000
Pt 0.8269 0.3269 0.5000
Pb 0.5000 0.5000 0.0000
Ag 0.6233 0.1233 0.0000



9.
This record from Alexandria via LeMat-Bulk describes a geometry-optimized Dy2Al3Cu12Ni structure. The functional is PBE.

## Properties
space group	R-3m, No. 166
energy of formation	46	meV per atom

abc: 12.1207 12.1207 12.1207
angles: 24.98 24.98 24.98
Fractional positions:
Cu 0.6024 0.1256 0.6024
Cu 0.1101 0.6135 0.1101
Al 0.0000 0.0000 0.5000
Cu 0.6024 0.6024 0.1256
Dy 0.6447 0.6447 0.6447
Cu 0.8899 0.3865 0.8899
Cu 0.8899 0.8899 0.3865
Al 0.0000 0.5000 0.0000
Cu 0.3976 0.3976 0.8744
Cu 0.1101 0.1101 0.6135
Cu 0.3865 0.8899 0.8899
Dy 0.3553 0.3553 0.3553
Al 0.5000 0.0000 0.0000
Cu 0.8744 0.3976 0.3976
Cu 0.3976 0.8744 0.3976
Cu 0.6135 0.1101 0.1101
Cu 0.1256 0.6024 0.6024
Ni 0.0000 0.0000 0.0000



10.
This record from Alexandria via LeMat-Bulk describes a geometry-optimized HoSc5Au6 structure. The functional is PBE.

## Properties
space group	Immm, No. 71
energy of formation	-807	meV per atom

abc: 4.8671 6.8521 8.4285
angles: 113.98 106.78 90.00
Fractional positions:
Au 0.5000 0.7356 0.0000
Sc 0.6677 0.6677 0.3354
Au 0.5000 0.2644 0.0000
Sc 0.3323 0.3323 0.6646
Sc 0.6658 0.1658 0.3316
Au 0.8287 0.5719 0.6575
Au 0.8288 0.0856 0.6575
Sc 0.3342 0.8342 0.6684
Au 0.1713 0.4281 0.3425
Sc 0.0000 0.5000 0.0000
Au 0.1712 0.9144 0.3425
Ho 0.0000 0.0000 0.0000



11.
This record from Alexandria via LeMat-Bulk describes a geometry-optimized SrZn3P structure. The functional is PBE.

## Properties
space group	Pm-3m, No. 221
energy of formation	85	meV per atom
offset from the most stable computed form	0.0	meV/atom

abc: 4.8945 4.8945 4.8945
angles: 90.00 90.00 90.00
Fractional positions:
P 0.0000 0.0000 0.0000
Zn 0.0000 0.5000 0.0000
Zn 0.0000 0.0000 0.5000
Zn 0.5000 0.0000 0.0000
Sr 0.5000 0.5000 0.5000



12.
This record from Alexandria via LeMat-Bulk describes a geometry-optimized Y4MgZn5 structure. The functional is PBE.

## Properties
space group	P4/mmm, No. 123
energy of formation	-309	meV per atom

abc: 3.5433 3.5433 17.5038
angles: 90.00 90.00 90.00
Fractional positions:
Mg 0.0000 0.0000 0.0000
Zn 0.5000 0.5000 0.0854
Zn 0.5000 0.5000 0.9146
Zn 0.5000 0.5000 0.7050
Y 0.0000 0.0000 0.8081
Zn 0.5000 0.5000 0.5000
Zn 0.5000 0.5000 0.2950
Y 0.0000 0.0000 0.6030
Y 0.0000 0.0000 0.3970
Y 0.0000 0.0000 0.1919



13.
This record from Alexandria via LeMat-Bulk describes a geometry-optimized Pr2GaRe structure. The functional is PBE.

## Properties
space group	R-3m, No. 166
energy of formation	718	meV per atom

abc: 3.1657 3.1657 11.1417
angles: 81.83 81.83 60.00
Fractional positions:
Pr 0.9139 0.9139 0.2582
Re 0.0000 0.0000 0.0000
Pr 0.0861 0.0861 0.7418
Ga 0.5000 0.5000 0.5000



14.
This record from Alexandria via LeMat-Bulk describes a geometry-optimized TbY2Co structure. The functional is PBE.

## Properties
space group	Cmcm, No. 63
energy of formation	-125	meV per atom
offset from the most stable computed form	24.4	meV/atom

abc: 3.6610 6.3222 9.4462
angles: 90.00 90.00 106.85
Fractional positions:
Co 0.2507 0.5012 0.7500
Y 0.8593 0.7188 0.9274
Y 0.1407 0.2812 0.4274
Tb 0.4135 0.8276 0.2500
Tb 0.5865 0.1724 0.7500
Co 0.7493 0.4988 0.2500
Y 0.1407 0.2812 0.0726
Y 0.8593 0.7188 0.5726



15.
This record from Alexandria via LeMat-Bulk describes a geometry-optimized DyHoSi4 structure. The functional is PBE.

## Properties
formation energy from raw total energies	-403	meV/atom
space group	Pbam, No. 55

abc: 4.0100 8.3851 14.4599
angles: 90.00 90.00 90.00
Fractional positions:
Dy 0.0000 0.0972 0.1308
Ho 0.0000 0.6378 0.0855
Dy 0.0000 0.5972 0.3692
Si 0.5000 0.3652 0.0742
Si 0.5000 0.8704 0.0297
Si 0.5000 0.8198 0.1911
Si 0.5000 0.1348 0.5742
Dy 0.0000 0.4028 0.6308
Si 0.5000 0.3704 0.4703
Si 0.5000 0.0418 0.2848
Ho 0.0000 0.8622 0.5855
Si 0.5000 0.5418 0.2152
Ho 0.0000 0.1378 0.4145
Si 0.5000 0.6348 0.9258
Si 0.5000 0.4582 0.7848
Si 0.5000 0.6802 0.6911
Si 0.5000 0.8652 0.4258
Si 0.5000 0.1802 0.8089
Si 0.5000 0.9582 0.7152
Si 0.5000 0.6296 0.5297
Si 0.5000 0.1296 0.9703
Dy 0.0000 0.9028 0.8692
Ho 0.0000 0.3622 0.9145
Si 0.5000 0.3198 0.3089



16.
This record from Alexandria via LeMat-Bulk describes a geometry-optimized ThMnB4 structure. The functional is PBE.

## Properties
space group	Pbam, No. 55
energy of formation	-563	meV per atom

abc: 3.5928 6.0260 11.6594
angles: 90.00 90.00 90.00
Each line ends with the local moment (μB).
Fractional positions:
B 0.5000 0.0245 0.6870  -0.01
Mn 0.0000 0.8721 0.5860  0.89
Th 0.0000 0.6241 0.3494  -0.02
B 0.5000 0.8900 0.4555  -0.02
B 0.5000 0.2752 0.3185  -0.01
B 0.5000 0.3560 0.4667  -0.01
B 0.5000 0.6440 0.5333  -0.01
Mn 0.0000 0.1279 0.4140  0.89
B 0.5000 0.7248 0.6815  -0.01
Th 0.0000 0.1241 0.1506  -0.02
Mn 0.0000 0.6279 0.0860  0.89
B 0.5000 0.1440 0.9667  -0.01
B 0.5000 0.2248 0.8185  -0.01
B 0.5000 0.1100 0.5445  -0.02
B 0.5000 0.9755 0.3130  -0.01
B 0.5000 0.5245 0.8130  -0.01
B 0.5000 0.3900 0.0445  -0.02
B 0.5000 0.8560 0.0333  -0.01
Th 0.0000 0.3759 0.6506  -0.02
Mn 0.0000 0.3721 0.9140  0.89
Th 0.0000 0.8759 0.8494  -0.02
B 0.5000 0.7752 0.1815  -0.01
B 0.5000 0.6100 0.9555  -0.02
B 0.5000 0.4755 0.1870  -0.01



17.
This record from Alexandria via LeMat-Bulk describes a geometry-optimized PmZrGe structure. The functional is PBE.

## Properties
space group	R-3m, No. 166
energy of formation	-374	meV per atom
offset from the most stable computed form	301.3	meV/atom

abc: 4.5882 4.5882 8.7643
angles: 74.83 74.83 60.00
Fractional positions:
Ge 0.4072 0.4072 0.7784
Pm 0.8724 0.8724 0.3828
Zr 0.7061 0.7061 0.8816
Ge 0.5928 0.5928 0.2216
Zr 0.2939 0.2939 0.1184
Pm 0.1276 0.1276 0.6172



18.
This record from Alexandria via LeMat-Bulk describes a geometry-optimized TbY2Tm5 structure. The functional is PBE.

## Properties
space group	P-1, No. 2
energy of formation	121	meV per atom
offset from the most stable computed form	93.0	meV/atom

abc: 11.4175 9.6851 10.3334
angles: 58.00 146.24 127.47
Fractional positions:
Tm 0.5244 0.8136 0.5368
Y 0.2983 0.3724 0.7281
Tm 0.1372 0.9956 0.9916
Tb 0.7880 0.5537 0.7241
Y 0.7017 0.6276 0.2719
Tm 0.6907 0.2403 0.3272
Y 0.9022 0.6090 0.1362
Tm 0.3220 0.8100 0.0017
Tm 0.8460 0.9452 0.4984
Tm 0.6780 0.1900 0.9983
Y 0.0978 0.3910 0.8638
Tm 0.4756 0.1864 0.4632
Tb 0.2120 0.4463 0.2759
Tm 0.8628 0.0044 0.0084
Tm 0.1540 0.0548 0.5016
Tm 0.3093 0.7597 0.6728



19.
This record from Alexandria via LeMat-Bulk describes a geometry-optimized Dy3GeP2Rh8 structure. The functional is PBE.

## Properties
space group	P-3m1, No. 164
energy of formation	-737	meV per atom

abc: 5.4165 5.4165 9.3231
angles: 90.00 90.00 120.00
Fractional positions:
Dy 0.6667 0.3333 0.4358
Rh 0.8352 0.1648 0.7225
Rh 0.6667 0.3333 0.1364
P 0.3333 0.6667 0.0998
Rh 0.3296 0.1648 0.7225
Rh 0.6704 0.8352 0.2775
Dy 0.3333 0.6667 0.5642
P 0.6667 0.3333 0.9002
Dy 0.0000 0.0000 0.0000
Rh 0.8352 0.6704 0.7225
Ge 0.0000 0.0000 0.5000
Rh 0.3333 0.6667 0.8636
Rh 0.1648 0.3296 0.2775
Rh 0.1648 0.8352 0.2775



20.
This record from Alexandria via LeMat-Bulk describes a geometry-optimized FeHg2Cl structure. The functional is PBE.

## Properties
formation energy from raw total energies	156	meV/atom
space group	Immm, No. 71
offset from the most stable computed form	191.5	meV/atom

abc: 7.8244 7.8244 4.1066
angles: 74.81 74.81 21.87
Each line ends with the local moment (μB).
Fractional positions:
Hg 0.5735 0.5735 0.4265  0.00
Fe 0.2500 0.2500 0.2500  2.97
Hg 0.9265 0.9265 0.0735  0.00
Cl 0.7500 0.7500 0.7500  0.08



no.,DOS at the Fermi energy (states/eV/cell)
1,1.1
2,21.5
3,4.3
4,2.1
5,2.6
6,3.0
7,2.4
8,5.7
9,12.4
10,7.7
11,3.1
12,8.6
13,5.4
14,10.9
15,8.3
16,9.6
17,5.4
18,22.0
19,11.5
20,3.1